The following is a PBE calculation of a geometry-optimized K3NbSO3 structure, from OQMD.

Calculated values
Electronic total energy ... -5.9992 eV/atom
Crystal system ... monoclinic
Density ... 2.756 g cm⁻³

a = 6.6738 Å, b = 6.0691 Å, c = 8.8676 Å
α = 90.00°, β = 103.16°, γ = 90.00°
Atoms (fractional coordinates):
K  0.1855  0.2500  0.0349
K  0.2441  0.2500  0.5049
K  0.2823  0.7500  0.7841
K  0.7177  0.2500  0.2159
K  0.7559  0.7500  0.4951
K  0.8145  0.7500  0.9651
Nb  0.2108  0.7500  0.2924
Nb  0.7892  0.2500  0.7076
S  0.4651  0.7500  0.1465
S  0.5349  0.2500  0.8535
O  0.0440  0.5048  0.2409
O  0.0440  0.9952  0.2409
O  0.3304  0.7500  0.5027
O  0.6696  0.2500  0.4973
O  0.9560  0.0048  0.7591
O  0.9560  0.4952  0.7591

---

The following is a PBE calculation of a geometry-optimized LuZn2 structure, from OQMD.

Calculated values
Electronic total energy ... -2.4405 eV/atom
Crystal system ... orthorhombic
Density ... 8.789 g cm⁻³
Energy of formation ... -89 meV per atom

a = 4.7443 Å, b = 9.6647 Å, c = 5.0400 Å
α = 90.00°, β = 90.00°, γ = 90.00°
Atoms (fractional coordinates):
Lu  0.2500  0.0836  0.1305
Lu  0.2500  0.4164  0.1305
Lu  0.7500  0.5836  0.8695
Lu  0.7500  0.9164  0.8695
Zn  0.2500  0.2500  0.6330
Zn  0.2500  0.6104  0.5675
Zn  0.2500  0.7500  0.0822
Zn  0.2500  0.8896  0.5675
Zn  0.7500  0.1104  0.4325
Zn  0.7500  0.2500  0.9178
Zn  0.7500  0.3896  0.4325
Zn  0.7500  0.7500  0.3670